# 1
VASP calculation (GGA-PBE) on an optimized crystal structure of CsNaSe2N.

CIF file:
```
data_CsNaSe2N
_cell_length_a 5.3951
_cell_length_b 5.3951
_cell_length_c 5.4838
_cell_angle_alpha 90.00
_cell_angle_beta 90.00
_cell_angle_gamma 90.00
_symmetry_space_group_name_H-M 'P 4/m m m'
_symmetry_Int_Tables_number 123
_symmetry_space_group_name_Hall '-P 4 2'
loop_
_atom_site_label
_atom_site_fract_x
_atom_site_fract_y
_atom_site_fract_z
Cs1 0.0000 0.0000 0.0000
Na1 0.5000 0.5000 0.5000
Se1 0.0000 0.5000 0.5000
N1 0.5000 0.5000 0.0000
```

Computed properties:
N(E_F), states/eV/f.u.: 2.9

# 2
VASP calculation (GGA-PBE) on an optimized crystal structure of CsNaTcN2.

CIF file:
```
data_CsNaTcN2
_cell_length_a 13.2251
_cell_length_b 3.6065
_cell_length_c 9.1950
_cell_angle_alpha 90.00
_cell_angle_beta 114.52
_cell_angle_gamma 90.00
_symmetry_space_group_name_H-M 'C 1 2/m 1'
_symmetry_Int_Tables_number 12
loop_
_symmetry_equiv_pos_as_xyz
'x,y,z'
'-x,-y,-z'
'-x,y,-z'
'x,-y,z'
'x+1/2,y+1/2,z'
'-x+1/2,-y+1/2,-z'
'-x+1/2,y+1/2,-z'
'x+1/2,-y+1/2,z'
loop_
_atom_site_label
_atom_site_fract_x
_atom_site_fract_y
_atom_site_fract_z
Cs1 0.1599 0.0000 0.1017
Na1 0.1679 0.0000 0.5387
Tc1 0.0139 0.5000 0.6770
N1 0.0741 0.0000 0.7106
N2 0.1238 0.5000 0.3444
```

Computed properties:
N(E_F), states/eV/f.u.: 0.4

# 3
VASP calculation (GGA-PBE) on an optimized crystal structure of CsNaTeN2.

CIF file:
```
data_CsNaTeN2
_cell_length_a 5.3587
_cell_length_b 5.3587
_cell_length_c 5.9143
_cell_angle_alpha 90.00
_cell_angle_beta 90.00
_cell_angle_gamma 90.00
_symmetry_space_group_name_H-M 'P 4/m m m'
_symmetry_Int_Tables_number 123
_symmetry_space_group_name_Hall '-P 4 2'
loop_
_atom_site_label
_atom_site_fract_x
_atom_site_fract_y
_atom_site_fract_z
Cs1 0.0000 0.0000 0.0000
Na1 0.5000 0.5000 0.5000
Te1 0.5000 0.5000 0.0000
N1 0.0000 0.5000 0.5000
```

Computed properties:
N(E_F), states/eV/f.u.: 2.4

# 4
VASP calculation (GGA-PBE) on an optimized crystal structure of CsNaTeN2.

CIF file:
```
data_CsNaTeN2
_cell_length_a 5.0206
_cell_length_b 5.0206
_cell_length_c 7.2941
_cell_angle_alpha 90.00
_cell_angle_beta 90.00
_cell_angle_gamma 90.00
_symmetry_space_group_name_H-M 'P 4/m m m'
_symmetry_Int_Tables_number 123
_symmetry_space_group_name_Hall '-P 4 2'
loop_
_atom_site_label
_atom_site_fract_x
_atom_site_fract_y
_atom_site_fract_z
Cs1 0.0000 0.0000 0.0000
Na1 0.5000 0.5000 0.5000
Te1 0.0000 0.0000 0.5000
N1 0.0000 0.5000 0.0000
```

Computed properties:
N(E_F), states/eV/f.u.: 5.2

# 5
VASP calculation (GGA-PBE) on an optimized crystal structure of CsNaWN3.

CIF file:
```
data_CsNaWN3
_cell_length_a 6.3461
_cell_length_b 12.0208
_cell_length_c 5.6856
_cell_angle_alpha 90.00
_cell_angle_beta 90.00
_cell_angle_gamma 90.00
_symmetry_space_group_name_H-M 'C m c m'
_symmetry_Int_Tables_number 63
_symmetry_space_group_name_Hall '-C 2c 2'
loop_
_atom_site_label
_atom_site_fract_x
_atom_site_fract_y
_atom_site_fract_z
Cs1 0.0000 0.2274 0.2500
Na1 0.0000 0.0714 0.7500
W1 0.0000 0.4516 0.7500
N1 0.0000 0.3014 0.7500
N2 0.2094 0.5000 0.0000
```

Computed properties:
N(E_F), states/eV/f.u.: 3.2

# 6
VASP calculation (GGA-PBE) on an optimized crystal structure of Cs5NaW4N10.

CIF file:
```
data_Cs5NaW4N10
_cell_length_a 14.2015
_cell_length_b 14.2015
_cell_length_c 9.1836
_cell_angle_alpha 90.00
_cell_angle_beta 90.00
_cell_angle_gamma 90.00
_symmetry_space_group_name_H-M 'I 41'
_symmetry_Int_Tables_number 80
loop_
_symmetry_equiv_pos_as_xyz
'x,y,z'
'-y,x+1/2,z+1/4'
'-x+1/2,-y+1/2,z+1/2'
'y+1/2,-x,z+3/4'
'x+1/2,y+1/2,z+1/2'
'-y+1/2,x,z+3/4'
'-x,-y,z'
'y,-x+1/2,z+1/4'
loop_
_atom_site_label
_atom_site_fract_x
_atom_site_fract_y
_atom_site_fract_z
Cs1 0.0000 0.0000 0.0000
Cs2 0.1119 0.3377 0.5722
Cs3 0.1120 0.8374 0.6800
Na1 0.0000 0.0000 0.5010
W1 0.1061 0.2950 0.0185
W2 0.1062 0.7954 0.2330
N1 0.0006 0.2491 0.1266
N2 0.0700 0.3904 0.9042
N3 0.0716 0.8908 0.3485
N4 0.1590 0.1992 0.9011
N5 0.1591 0.6987 0.3488
```

Computed properties:
N(E_F), states/eV/f.u.: 0.0

# 7
VASP calculation (GGA-PBE) on an optimized crystal structure of CsNb2N2.

CIF file:
```
data_CsNb2N2
_cell_length_a 7.4486
_cell_length_b 7.4486
_cell_length_c 3.0001
_cell_angle_alpha 90.00
_cell_angle_beta 90.00
_cell_angle_gamma 90.00
_symmetry_space_group_name_H-M 'P 4/m b m'
_symmetry_Int_Tables_number 127
_symmetry_space_group_name_Hall '-P 4 2ab'
loop_
_atom_site_label
_atom_site_fract_x
_atom_site_fract_y
_atom_site_fract_z
Cs1 0.0000 0.0000 0.0000
Nb1 0.1163 0.3837 0.5000
N1 0.1155 0.6155 0.0000
```

Computed properties:
N(E_F), states/eV/f.u.: 6.4

# 8
VASP calculation (GGA-PBE) on an optimized crystal structure of CsNb2N2.

CIF file:
```
data_CsNb2N2
_cell_length_a 4.1015
_cell_length_b 4.1015
_cell_length_c 14.4474
_cell_angle_alpha 90.00
_cell_angle_beta 90.00
_cell_angle_gamma 90.00
_symmetry_space_group_name_H-M 'I 4/m m m'
_symmetry_Int_Tables_number 139
_symmetry_space_group_name_Hall '-I 4 2'
loop_
_atom_site_label
_atom_site_fract_x
_atom_site_fract_y
_atom_site_fract_z
Cs1 0.0000 0.0000 0.0000
Nb1 0.0000 0.5000 0.2500
N1 0.0000 0.0000 0.2869
```

Computed properties:
N(E_F), states/eV/f.u.: 2.8

# 9
VASP calculation (GGA-PBE) on an optimized crystal structure of CsNbN3.

CIF file:
```
data_CsNbN3
_cell_length_a 4.2438
_cell_length_b 4.2438
_cell_length_c 4.2438
_cell_angle_alpha 90.00
_cell_angle_beta 90.00
_cell_angle_gamma 90.00
_symmetry_space_group_name_H-M 'P m -3 m'
_symmetry_Int_Tables_number 221
_symmetry_space_group_name_Hall '-P 4 2 3'
loop_
_atom_site_label
_atom_site_fract_x
_atom_site_fract_y
_atom_site_fract_z
Cs1 0.0000 0.0000 0.0000
Nb1 0.5000 0.5000 0.5000
N1 0.0000 0.5000 0.5000
```

Computed properties:
N(E_F), states/eV/f.u.: 0.7

# 10
VASP calculation (GGA-PBE) on an optimized crystal structure of CsNdNbN3.

CIF file:
```
data_CsNdNbN3
_cell_length_a 14.0579
_cell_length_b 4.0768
_cell_length_c 8.7817
_cell_angle_alpha 90.00
_cell_angle_beta 104.51
_cell_angle_gamma 90.00
_symmetry_space_group_name_H-M 'C 1 2/m 1'
_symmetry_Int_Tables_number 12
loop_
_symmetry_equiv_pos_as_xyz
'x,y,z'
'-x,-y,-z'
'-x,y,-z'
'x,-y,z'
'x+1/2,y+1/2,z'
'-x+1/2,-y+1/2,-z'
'-x+1/2,y+1/2,-z'
'x+1/2,-y+1/2,z'
loop_
_atom_site_label
_atom_site_fract_x
_atom_site_fract_y
_atom_site_fract_z
Cs1 0.1458 0.0000 0.0669
Nd1 0.1592 0.0000 0.5775
Nb1 0.0074 0.5000 0.3245
N1 0.0127 0.0000 0.3432
N2 0.1366 0.5000 0.7522
N3 0.1615 0.5000 0.3835
```

Computed properties:
N(E_F), states/eV/f.u.: 3.2

# 11
VASP calculation (GGA-PBE) on an optimized crystal structure of CsNbN2O.

CIF file:
```
data_CsNbN2O
_cell_length_a 4.3098
_cell_length_b 4.3098
_cell_length_c 4.1721
_cell_angle_alpha 90.00
_cell_angle_beta 90.00
_cell_angle_gamma 90.00
_symmetry_space_group_name_H-M 'P 4/m m m'
_symmetry_Int_Tables_number 123
_symmetry_space_group_name_Hall '-P 4 2'
loop_
_atom_site_label
_atom_site_fract_x
_atom_site_fract_y
_atom_site_fract_z
Cs1 0.0000 0.0000 0.0000
Nb1 0.5000 0.5000 0.5000
N1 0.0000 0.5000 0.5000
O1 0.5000 0.5000 0.0000
```

Computed properties:
N(E_F), states/eV/f.u.: 2.0

# 12
VASP calculation (GGA-PBE) on an optimized crystal structure of CsNbN2O.

CIF file:
```
data_CsNbN2O
_cell_length_a 4.4220
_cell_length_b 4.4220
_cell_length_c 4.2333
_cell_angle_alpha 90.00
_cell_angle_beta 90.00
_cell_angle_gamma 90.00
_symmetry_space_group_name_H-M 'P 4/m m m'
_symmetry_Int_Tables_number 123
_symmetry_space_group_name_Hall '-P 4 2'
loop_
_atom_site_label
_atom_site_fract_x
_atom_site_fract_y
_atom_site_fract_z
Cs1 0.0000 0.0000 0.0000
Nb1 0.5000 0.5000 0.5000
N1 0.0000 0.5000 0.0000
O1 0.0000 0.0000 0.5000
```

Computed properties:
N(E_F), states/eV/f.u.: 5.6

# 13
VASP calculation (GGA-PBE) on an optimized crystal structure of Cs2NbP2N6.

CIF file:
```
data_Cs2NbP2N6
_cell_length_a 5.7113
_cell_length_b 5.7113
_cell_length_c 20.9401
_cell_angle_alpha 90.00
_cell_angle_beta 90.00
_cell_angle_gamma 120.00
_symmetry_space_group_name_H-M 'R -3 m'
_symmetry_Int_Tables_number 166
_symmetry_space_group_name_Hall '-R 3 2"'
loop_
_atom_site_label
_atom_site_fract_x
_atom_site_fract_y
_atom_site_fract_z
Cs1 0.0000 0.0000 0.2088
Nb1 0.0000 0.0000 0.0000
P1 0.0000 0.0000 0.3883
N1 0.0153 0.5076 0.2753
```

Computed properties:
N(E_F), states/eV/f.u.: 4.3

# 14
VASP calculation (GGA-PBE) on an optimized crystal structure of CsPrNbN3.

CIF file:
```
data_CsPrNbN3
_cell_length_a 14.1019
_cell_length_b 4.0884
_cell_length_c 8.8067
_cell_angle_alpha 90.00
_cell_angle_beta 104.82
_cell_angle_gamma 90.00
_symmetry_space_group_name_H-M 'C 1 2/m 1'
_symmetry_Int_Tables_number 12
loop_
_symmetry_equiv_pos_as_xyz
'x,y,z'
'-x,-y,-z'
'-x,y,-z'
'x,-y,z'
'x+1/2,y+1/2,z'
'-x+1/2,-y+1/2,-z'
'-x+1/2,y+1/2,-z'
'x+1/2,-y+1/2,z'
loop_
_atom_site_label
_atom_site_fract_x
_atom_site_fract_y
_atom_site_fract_z
Cs1 0.1451 0.0000 0.0660
Pr1 0.1593 0.0000 0.5786
Nb1 0.0074 0.5000 0.3240
N1 0.0119 0.0000 0.3416
N2 0.1365 0.5000 0.7559
N3 0.1605 0.5000 0.3832
```

Computed properties:
N(E_F), states/eV/f.u.: 3.2

# 15
VASP calculation (GGA-PBE) on an optimized crystal structure of CsNbS2N.

CIF file:
```
data_CsNbS2N
_cell_length_a 5.3663
_cell_length_b 5.3663
_cell_length_c 4.1479
_cell_angle_alpha 90.00
_cell_angle_beta 90.00
_cell_angle_gamma 90.00
_symmetry_space_group_name_H-M 'P 4/m m m'
_symmetry_Int_Tables_number 123
_symmetry_space_group_name_Hall '-P 4 2'
loop_
_atom_site_label
_atom_site_fract_x
_atom_site_fract_y
_atom_site_fract_z
Cs1 0.0000 0.0000 0.0000
Nb1 0.5000 0.5000 0.5000
S1 0.0000 0.5000 0.0000
N1 0.0000 0.0000 0.5000
```

Computed properties:
N(E_F), states/eV/f.u.: 7.6

# 16
VASP calculation (GGA-PBE) on an optimized crystal structure of CsNbSeN2.

CIF file:
```
data_CsNbSeN2
_cell_length_a 4.1760
_cell_length_b 4.1760
_cell_length_c 6.2395
_cell_angle_alpha 90.00
_cell_angle_beta 90.00
_cell_angle_gamma 90.00
_symmetry_space_group_name_H-M 'P 4/m m m'
_symmetry_Int_Tables_number 123
_symmetry_space_group_name_Hall '-P 4 2'
loop_
_atom_site_label
_atom_site_fract_x
_atom_site_fract_y
_atom_site_fract_z
Cs1 0.0000 0.0000 0.0000
Nb1 0.5000 0.5000 0.5000
Se1 0.0000 0.0000 0.5000
N1 0.0000 0.5000 0.0000
```

Computed properties:
N(E_F), states/eV/f.u.: 6.0

# 17
VASP calculation (GGA-PBE) on an optimized crystal structure of CsNbSeN2.

CIF file:
```
data_CsNbSeN2
_cell_length_a 4.2679
_cell_length_b 4.2679
_cell_length_c 5.3167
_cell_angle_alpha 90.00
_cell_angle_beta 90.00
_cell_angle_gamma 90.00
_symmetry_space_group_name_H-M 'P 4/m m m'
_symmetry_Int_Tables_number 123
_symmetry_space_group_name_Hall '-P 4 2'
loop_
_atom_site_label
_atom_site_fract_x
_atom_site_fract_y
_atom_site_fract_z
Cs1 0.0000 0.0000 0.0000
Nb1 0.5000 0.5000 0.5000
Se1 0.5000 0.5000 0.0000
N1 0.0000 0.5000 0.5000
```

Computed properties:
N(E_F), states/eV/f.u.: 3.4

# 18
VASP calculation (GGA-PBE) on an optimized crystal structure of CsNbTeN2.

CIF file:
```
data_CsNbTeN2
_cell_length_a 4.2567
_cell_length_b 4.2567
_cell_length_c 6.6811
_cell_angle_alpha 90.00
_cell_angle_beta 90.00
_cell_angle_gamma 90.00
_symmetry_space_group_name_H-M 'P 4/m m m'
_symmetry_Int_Tables_number 123
_symmetry_space_group_name_Hall '-P 4 2'
loop_
_atom_site_label
_atom_site_fract_x
_atom_site_fract_y
_atom_site_fract_z
Cs1 0.0000 0.0000 0.0000
Nb1 0.5000 0.5000 0.5000
Te1 0.0000 0.0000 0.5000
N1 0.0000 0.5000 0.0000
```

Computed properties:
N(E_F), states/eV/f.u.: 7.4

# 19
VASP calculation (GGA-PBE) on an optimized crystal structure of CsNbTeN2.

CIF file:
```
data_CsNbTeN2
_cell_length_a 4.4146
_cell_length_b 4.4146
_cell_length_c 5.6641
_cell_angle_alpha 90.00
_cell_angle_beta 90.00
_cell_angle_gamma 90.00
_symmetry_space_group_name_H-M 'P 4/m m m'
_symmetry_Int_Tables_number 123
_symmetry_space_group_name_Hall '-P 4 2'
loop_
_atom_site_label
_atom_site_fract_x
_atom_site_fract_y
_atom_site_fract_z
Cs1 0.0000 0.0000 0.0000
Nb1 0.5000 0.5000 0.5000
Te1 0.5000 0.5000 0.0000
N1 0.0000 0.5000 0.5000
```

Computed properties:
N(E_F), states/eV/f.u.: 2.5

# 20
VASP calculation (GGA-PBE) on an optimized crystal structure of CsTiNb2N.

CIF file:
```
data_CsTiNb2N
_cell_length_a 5.2029
_cell_length_b 5.2029
_cell_length_c 4.2143
_cell_angle_alpha 90.00
_cell_angle_beta 90.00
_cell_angle_gamma 90.00
_symmetry_space_group_name_H-M 'P 4/m m m'
_symmetry_Int_Tables_number 123
_symmetry_space_group_name_Hall '-P 4 2'
loop_
_atom_site_label
_atom_site_fract_x
_atom_site_fract_y
_atom_site_fract_z
Cs1 0.0000 0.0000 0.0000
Ti1 0.5000 0.5000 0.5000
Nb1 0.0000 0.5000 0.0000
N1 0.0000 0.0000 0.5000
```

Computed properties:
N(E_F), states/eV/f.u.: 6.4

# 21
VASP calculation (GGA-PBE) on an optimized crystal structure of CsUNbN4.

CIF file:
```
data_CsUNbN4
_cell_length_a 6.0893
_cell_length_b 5.9657
_cell_length_c 8.0966
_cell_angle_alpha 90.00
_cell_angle_beta 99.73
_cell_angle_gamma 90.00
_symmetry_space_group_name_H-M 'P 1 21/m 1'
_symmetry_Int_Tables_number 11
loop_
_symmetry_equiv_pos_as_xyz
'x,y,z'
'-x,-y,-z'
'-x,y+1/2,-z'
'x,-y+1/2,z'
loop_
_atom_site_label
_atom_site_fract_x
_atom_site_fract_y
_atom_site_fract_z
Cs1 0.1720 0.2500 0.1059
U1 0.1724 0.7500 0.4630
Nb1 0.3658 0.2500 0.6547
N1 0.1342 0.0131 0.6467
N2 0.3093 0.7500 0.2468
N3 0.4622 0.2500 0.4453
```

# 22
VASP calculation (GGA-PBE) on an optimized crystal structure of CsNdN.

CIF file:
```
data_CsNdN
_cell_length_a 5.2259
_cell_length_b 5.2254
_cell_length_c 14.5550
_cell_angle_alpha 90.00
_cell_angle_beta 99.79
_cell_angle_gamma 90.00
_symmetry_space_group_name_H-M 'C 1 2/m 1'
_symmetry_Int_Tables_number 12
loop_
_symmetry_equiv_pos_as_xyz
'x,y,z'
'-x,-y,-z'
'-x,y,-z'
'x,-y,z'
'x+1/2,y+1/2,z'
'-x+1/2,-y+1/2,-z'
'-x+1/2,y+1/2,-z'
'x+1/2,-y+1/2,z'
loop_
_atom_site_label
_atom_site_fract_x
_atom_site_fract_y
_atom_site_fract_z
Cs1 0.0869 0.0000 0.1573
Nd1 0.2100 0.5000 0.4156
N1 0.2139 0.0000 0.4237
```

Computed properties:
N(E_F), states/eV/f.u.: 1.5

# 23
VASP calculation (GGA-PBE) on an optimized crystal structure of CsNd2P2N6.

CIF file:
```
data_CsNd2P2N6
_cell_length_a 11.5101
_cell_length_b 6.5166
_cell_length_c 6.5999
_cell_angle_alpha 90.00
_cell_angle_beta 118.71
_cell_angle_gamma 90.00
_symmetry_space_group_name_H-M 'C 1 2/m 1'
_symmetry_Int_Tables_number 12
loop_
_symmetry_equiv_pos_as_xyz
'x,y,z'
'-x,-y,-z'
'-x,y,-z'
'x,-y,z'
'x+1/2,y+1/2,z'
'-x+1/2,-y+1/2,-z'
'-x+1/2,y+1/2,-z'
'x+1/2,-y+1/2,z'
loop_
_atom_site_label
_atom_site_fract_x
_atom_site_fract_y
_atom_site_fract_z
Cs1 0.0000 0.0000 0.0000
Nd1 0.1786 0.5000 0.3013
P1 0.1500 0.5000 0.7382
N1 0.0671 0.5000 0.8702
N2 0.1938 0.2976 0.6601
```

Computed properties:
N(E_F), states/eV/f.u.: 4.9

Listing formation energy (no corrections) for the structures above in their given order: 0.58; -0.08; 1.34; 1.78; -0.20; -0.51; 0.76; -0.34; 0.43; -0.47; -0.39; 2.50; -0.30; -0.46; 2.31; 2.57; 0.19; 2.59; 0.46; 2.94; -0.74; -0.56; -0.67 eV per atom.